Here is a relaxed MnAuO2F crystal from the Alexandria database. Energies are from GGA+U.

Properties
crystal system = tetragonal
volume = 60.6 Å³/f.u.
space-group type = P4/mmm
Fermi-level density of states = 2.45 states/eV per cell
final energy = -26.2 eV/f.u.

Cell and atoms, written as CIF:
```
data_MnAuO2F
_cell_length_a 3.917
_cell_length_b 3.917
_cell_length_c 3.949
_cell_angle_alpha 90.00
_cell_angle_beta 90.00
_cell_angle_gamma 90.00
_symmetry_space_group_name_H-M 'P 1'
_symmetry_Int_Tables_number 1
_symmetry_space_group_name_Hall 'P 1'
loop_
_atom_site_label
_atom_site_type_symbol
_atom_site_fract_x
_atom_site_fract_y
_atom_site_fract_z
Mn1 Mn 0.000 0.000 0.000
Au1 Au 0.500 0.500 0.500
O1 O 0.000 0.500 0.000
O2 O 0.500 0.000 0.000
F1 F 0.000 0.000 0.500
```